1.
Compound: Cs2AcV2O6
Source: the Alexandria database
Functional: PBE+U
Structure: optimized geometry

CIF file:
```
data_Cs2AcV2O6
_symmetry_space_group_name_H-M 'R -3 m'
_symmetry_Int_Tables_number 166
_symmetry_space_group_name_Hall '-R 3 2"'
_cell_length_a 6.4663
_cell_length_b 6.4663
_cell_length_c 19.6988
_cell_angle_alpha 90.00
_cell_angle_beta 90.00
_cell_angle_gamma 120.00
loop_
_atom_site_label
_atom_site_type_symbol
_atom_site_fract_x
_atom_site_fract_y
_atom_site_fract_z
Cs1 Cs 0.0000 0.0000 0.2131
Ac1 Ac 0.0000 0.0000 0.0000
V1 V 0.0000 0.0000 0.4215
O1 O 0.0205 0.5103 0.2548
```

=====

2.
# Cs2AcVO4 (PBE+U, optimized geometry)
# DOS(E_F): 15.35 states/eV/cell
data_Cs2AcVO4
_symmetry_space_group_name_H-M 'F d d d'
_symmetry_Int_Tables_number 70
_cell_length_a 6.475
_cell_length_b 13.760
_cell_length_c 25.730
_cell_angle_alpha 90.00
_cell_angle_beta 90.00
_cell_angle_gamma 90.00
loop_
_symmetry_equiv_pos_as_xyz
'x,y,z'
'-x,-y,-z'
'-x+1/4,-y+1/4,z'
'x+1/4,y+1/4,-z'
'x,-y+1/4,-z+1/4'
'-x,y+1/4,z+1/4'
'-x+1/4,y,-z+1/4'
'x+1/4,-y,z+1/4'
'x,y+1/2,z+1/2'
'-x,-y+1/2,-z+1/2'
'-x+1/4,-y+3/4,z+1/2'
'x+1/4,y+3/4,-z+1/2'
'x,-y+3/4,-z+3/4'
'-x,y+3/4,z+3/4'
'-x+1/4,y+1/2,-z+3/4'
'x+1/4,-y+1/2,z+3/4'
'x+1/2,y,z+1/2'
'-x+1/2,-y,-z+1/2'
'-x+3/4,-y+1/4,z+1/2'
'x+3/4,y+1/4,-z+1/2'
'x+1/2,-y+1/4,-z+3/4'
'-x+1/2,y+1/4,z+3/4'
'-x+3/4,y,-z+3/4'
'x+3/4,-y,z+3/4'
'x+1/2,y+1/2,z'
'-x+1/2,-y+1/2,-z'
'-x+3/4,-y+3/4,z'
'x+3/4,y+3/4,-z'
'x+1/2,-y+3/4,-z+1/4'
'-x+1/2,y+3/4,z+1/4'
'-x+3/4,y+1/2,-z+1/4'
'x+3/4,-y+1/2,z+1/4'
loop_
_atom_site_label
_atom_site_type_symbol
_atom_site_fract_x
_atom_site_fract_y
_atom_site_fract_z
Cs1 Cs 0.125 0.125 0.316
Ac1 Ac 0.125 0.125 0.125
V1 V 0.125 0.125 0.625
O1 O 0.069 0.293 0.847

=====

no.,electronic total energy (eV per atom)
1,-6.733
2,-5.971